{"formula": "YReMo2", "functional": "PBE-GGA", "state": "optimized geometry", "lattice": [[-0.917, -5.246, 1.279], [0.316, -3.622, -4.096], [2.688, 3.805, 2.880]], "species": ["Mo", "Mo", "Re", "Y"], "frac_coords": [[0.982, 0.982, 0.000], [0.518, 0.518, 0.000], [0.750, 0.250, 0.500], [0.250, 0.750, 0.500]], "ef_kj_per_mol_atoms": 26.2, "e_above_lowest_polymorph_mev_per_atom": 45, "sg": "Immm"}